No. 1
This record from Alexandria via LeMat-Bulk describes a geometry-optimized PrAl3Pd4 structure. The functional is PBE-GGA.

abc: 4.3250 4.3250 9.1217
angles: 76.29 76.29 60.00
Sites, in units of the cell vectors:
Pr1 0.0000 0.0000 0.0000
Al1 0.2382 0.2382 0.2855
Al2 0.5000 0.5000 0.5000
Al3 0.7618 0.7618 0.7145
Pd1 0.8649 0.8649 0.4052
Pd2 0.4050 0.4050 0.7850
Pd3 0.1351 0.1351 0.5948
Pd4 0.5950 0.5950 0.2150

Results
E_form in meV per atom: -861
Calculated total energy in eV per atom: -5.459
Symmetry: R-3m

No. 2
This record from Alexandria via LeMat-Bulk describes a geometry-optimized CsGa2Te2 structure. The functional is PBE-GGA.

abc: 5.3448 5.3448 7.6788
angles: 69.63 69.63 90.00
Sites, in units of the cell vectors:
Te1 0.3378 0.3378 0.3244
Te2 0.6622 0.6622 0.6756
Ga1 0.7500 0.2500 0.5000
Ga2 0.2500 0.7500 0.5000
Cs1 0.0000 0.0000 0.0000

Results
E above lowest polymorph in meV/atom: 0
Calculated total energy in eV per atom: -3.085
Symmetry: I4/mmm
Formation energy (no corrections) in eV/atom: -0.4473

No. 3
This record from Alexandria via LeMat-Bulk describes a geometry-optimized TbZn5Au6 structure. The functional is PBE-GGA.

abc: 4.6330 7.2986 6.5951
angles: 90.00 90.00 71.50
Sites, in units of the cell vectors:
Au1 0.5000 0.0000 0.2735
Au2 0.1778 0.6444 0.7411
Au3 0.5000 0.0000 0.7265
Au4 0.8222 0.3556 0.2589
Au5 0.1778 0.6444 0.2589
Au6 0.8222 0.3556 0.7411
Zn1 0.0000 0.0000 0.5000
Zn2 0.6618 0.6763 0.0000
Zn3 0.6611 0.6777 0.5000
Zn4 0.3382 0.3237 0.0000
Zn5 0.3389 0.3223 0.5000
Tb1 0.0000 0.0000 0.0000

Results
E_form in meV per atom: -314
Calculated total energy in eV per atom: -2.869
Symmetry: Cmmm

No. 4
This record from Alexandria via LeMat-Bulk describes a geometry-optimized LiPHF structure. The functional is PBE-GGA.

abc: 2.6147 2.6849 15.1963
angles: 90.00 91.05 90.00
Sites, in units of the cell vectors:
H1 0.9372 0.0000 0.2327
H2 0.9372 0.5000 0.7327
P1 0.9478 0.0000 0.3266
P2 0.9478 0.5000 0.8266
Li1 0.9712 0.5000 0.0523
Li2 0.9712 0.0000 0.5523
F1 0.4716 0.5000 0.5549
F2 0.4716 0.0000 0.0549

Results
E above lowest polymorph in meV/atom: 1
Calculated total energy in eV per atom: -4.435
Symmetry: Cm

No. 5
This record from Alexandria via LeMat-Bulk describes a geometry-optimized Rb2MgHg3Pb4 structure. The functional is PBE-GGA.

abc: 5.0939 5.0939 12.9742
angles: 90.00 90.00 90.00
Sites, in units of the cell vectors:
Hg1 0.0000 0.5000 0.1423
Hg2 0.0000 0.0000 0.5000
Hg3 0.5000 0.0000 0.8577
Pb1 0.0000 0.5000 0.3707
Pb2 0.5000 0.5000 0.0000
Pb3 0.5000 0.0000 0.6293
Pb4 0.0000 0.0000 0.0000
Mg1 0.5000 0.5000 0.5000
Rb1 0.0000 0.5000 0.7476
Rb2 0.5000 0.0000 0.2524

Results
E_form in meV per atom: -113
Calculated total energy in eV per atom: -2.040
Symmetry: P-4m2

No. 6
This record from Alexandria via LeMat-Bulk describes a geometry-optimized ThZrPa2P4 structure. The functional is PBE-GGA.

abc: 3.9891 6.8063 6.8802
angles: 70.33 90.00 90.00
Sites, in units of the cell vectors:
P1 0.0000 0.2463 0.2639
P2 0.0000 0.7537 0.7361
P3 0.5000 0.7462 0.2624
P4 0.5000 0.2538 0.7376
Pa1 0.5000 0.0000 0.5000
Pa2 0.0000 0.0000 0.0000
Th1 0.5000 0.5000 0.0000
Zr1 0.0000 0.5000 0.5000

Results
E_form in meV per atom: -1357
Calculated total energy in eV per atom: -8.432
Symmetry: P2/m

No. 7
This record from Alexandria via LeMat-Bulk describes a geometry-optimized Rb3HoAl2O6 structure. The functional is PBE-GGA.

abc: 6.0919 6.0919 7.3535
angles: 90.00 90.00 120.00
Sites, in units of the cell vectors:
O1 0.8288 0.1712 0.6916
O2 0.6576 0.8288 0.3084
O3 0.3424 0.1712 0.6916
O4 0.1712 0.8288 0.3084
O5 0.8288 0.6576 0.6916
O6 0.1712 0.3424 0.3084
Rb1 0.3333 0.6667 0.7517
Rb2 0.0000 0.0000 0.0000
Rb3 0.6667 0.3333 0.2483
Ho1 0.0000 0.0000 0.5000
Al1 0.6667 0.3333 0.6912
Al2 0.3333 0.6667 0.3088

Results
Calculated total energy in eV per atom: -6.103
Symmetry: P-3m1
Formation energy (no corrections) in eV/atom: -2.3769

No. 8
This record from Alexandria via LeMat-Bulk describes a geometry-optimized ZrTa2Ni structure. The functional is PBE-GGA.

abc: 2.9259 2.9259 8.1898
angles: 90.00 90.00 90.01
Sites, in units of the cell vectors:
Ta1 0.0000 0.0000 0.5407
Ta2 0.0000 0.0000 0.9593
Zr1 0.5000 0.5000 0.2500
Ni1 0.5000 0.5000 0.7500

Results
E_form in meV per atom: -1
E above lowest polymorph in meV/atom: 68
Calculated total energy in eV per atom: -9.510
Symmetry: P4/mmm

No. 9
This record from Alexandria via LeMat-Bulk describes a geometry-optimized CrSi2Te8 structure. The functional is PBE-GGA.

abc: 6.1758 8.3162 8.3162
angles: 54.22 80.82 80.82
Sites, in units of the cell vectors:
Te1 0.7940 0.6741 0.6741
Te2 0.7919 0.1736 0.1736
Te3 0.7261 0.1883 0.6947
Te4 0.2739 0.8117 0.3053
Te5 0.2739 0.3053 0.8117
Te6 0.2081 0.8264 0.8264
Te7 0.2060 0.3259 0.3259
Te8 0.7261 0.6947 0.1883
Si1 0.3887 0.1623 0.1623
Si2 0.6113 0.8377 0.8377
Cr1 0.0000 0.0000 0.0000

Results
Calculated total energy in eV per atom: -4.121
Symmetry: C2/m
Formation energy (no corrections) in eV/atom: 0.0251

No. 10
This record from Alexandria via LeMat-Bulk describes a geometry-optimized MgBiSb structure. The functional is PBE-GGA.

abc: 7.5538 6.5996 7.5444
angles: 82.80 90.00 90.00
Sites, in units of the cell vectors:
Bi1 0.4572 0.2304 0.3550
Bi2 0.0428 0.7304 0.8550
Bi3 0.5428 0.7696 0.6450
Bi4 0.9572 0.2696 0.1450
Sb1 0.2784 0.6480 0.3808
Sb2 0.2216 0.1480 0.8808
Sb3 0.7216 0.3520 0.6192
Sb4 0.7784 0.8520 0.1192
Mg1 0.5915 0.2352 0.9697
Mg2 0.0915 0.2648 0.5303
Mg3 0.4085 0.7648 0.0303
Mg4 0.9085 0.7352 0.4697

Results
E above lowest polymorph in meV/atom: 0
Calculated total energy in eV per atom: -3.263
Symmetry: P2_1/c
Formation energy (no corrections) in eV/atom: -0.0641

No. 11
This record from Alexandria via LeMat-Bulk describes a geometry-optimized Nd12Ho6Zr structure. The functional is PBE-GGA.

abc: 9.5347 9.5347 9.5347
angles: 110.93 110.93 110.93
Sites, in units of the cell vectors:
Ho1 0.7900 0.6887 0.5366
Ho2 0.2100 0.3113 0.4634
Ho3 0.5366 0.7900 0.6887
Ho4 0.6887 0.5366 0.7900
Ho5 0.4634 0.2100 0.3113
Ho6 0.3113 0.4634 0.2100
Nd1 0.9420 0.4163 0.6257
Nd2 0.2579 0.8979 0.8461
Nd3 0.1021 0.1539 0.7421
Nd4 0.8461 0.2579 0.8979
Nd5 0.0580 0.5837 0.3743
Nd6 0.6257 0.9420 0.4163
Nd7 0.8979 0.8461 0.2579
Nd8 0.4163 0.6257 0.9420
Nd9 0.5837 0.3743 0.0580
Nd10 0.1539 0.7421 0.1021
Nd11 0.3743 0.0580 0.5837
Nd12 0.7421 0.1021 0.1539
Zr1 0.0000 0.0000 0.0000

Results
E_form in meV per atom: 37
Calculated total energy in eV per atom: -4.869
Symmetry: R-3

No. 12
This record from Alexandria via LeMat-Bulk describes a geometry-optimized Nd4AlZn structure. The functional is PBE-GGA.

abc: 3.7379 6.7391 8.5864
angles: 114.81 77.43 73.90
Sites, in units of the cell vectors:
Zn1 0.5000 0.5000 0.5000
Al1 0.0000 0.0000 0.0000
Nd1 0.1729 0.4743 0.1798
Nd2 0.3183 0.0386 0.3247
Nd3 0.6817 0.9614 0.6753
Nd4 0.8271 0.5257 0.8202

Results
E_form in meV per atom: -188
E above lowest polymorph in meV/atom: 0
Calculated total energy in eV per atom: -4.203
Symmetry: C2/m